Entry from the Alexandria database: crystalline Na2TlInO4 at its relaxed geometry (PBE-GGA).

Output
- Calculated volume: 13.51 A^3/atom
- Formation energy without anion corrections: -1.352 eV per atom

a b c (Å): 5.809 3.345 5.889
angles (deg): 90.00 109.17 90.00
Space group P2/m (No. 10)
Inequivalent atoms, fractional coordinates:
Na1 0.000 0.000 0.000 x1
Na2 0.500 0.500 0.000 x1
Tl1 0.000 0.500 0.500 x1
In1 0.500 0.000 0.500 x1
O1 0.252 0.000 0.722 x2
O2 0.271 0.500 0.283 x2


Entry from the Alexandria database: crystalline Na2TlIn2O6 at its relaxed geometry (PBE-GGA).

Output
- Calculated volume: 14.72 A^3/atom
- Fermi-level density of states: 8.2 states/eV/f.u.
- Formation energy without anion corrections: -1.225 eV per atom

a b c (Å): 5.716 10.029 5.926
angles (deg): 90.00 107.66 90.00
Space group C2/m (No. 12)
Inequivalent atoms, fractional coordinates:
Na1 0.000 0.168 0.000 x4
Tl1 0.000 0.000 0.500 x2
In1 0.000 0.335 0.500 x4
O1 0.233 0.176 0.708 x8
O2 0.235 0.500 0.702 x4


Entry from the Alexandria database: crystalline Na3TlIn3O8 at its relaxed geometry (PBE-GGA).

Output
- Calculated volume: 14.11 A^3/atom
- Fermi-level density of states: 2.8 states/eV/f.u.
- Formation energy without anion corrections: -1.337 eV per atom

a b c (Å): 6.6148 6.6148 16.7609
angles (deg): 90.00 90.00 120.00
Space group R-3m (No. 166, hexagonal axes)
Inequivalent atoms, fractional coordinates:
Na1 0.0000 0.5000 0.0000 x9
Tl1 0.0000 0.0000 0.5000 x3
In1 0.0000 0.5000 0.5000 x9
O1 0.0000 0.0000 0.2368 x6
O2 0.0015 0.5007 0.7634 x18


Entry from the Alexandria database: crystalline Na4Tl3InO8 at its relaxed geometry (PBE-GGA).

Output
- Calculated volume: 13.80 A^3/atom
- Formation energy without anion corrections: -1.212 eV per atom

a b c (Å): 6.7620 6.7620 16.7225
angles (deg): 90.00 90.00 120.00
Space group R-3m (No. 166, hexagonal axes)
Inequivalent atoms, fractional coordinates:
Na1 0.0000 0.0000 0.0000 x3
Na2 0.0000 0.5000 0.0000 x9
Tl1 0.0000 0.5000 0.5000 x9
In1 0.0000 0.0000 0.5000 x3
O1 0.0000 0.0000 0.2420 x6
O2 0.0108 0.5054 0.2403 x18


Which of these has the highest calculated volume? Na2TlIn2O6


Which formula does entry 4 have? Na4Tl3InO8


Among the records above, which one has the lowest formation energy without anion corrections? Na2TlInO4